# 1
A relaxed structure of K3Sb4Au4. Source: Alexandria, functional PBE-GGA.

Output
- density (Mg/m³) = 7.0
- crystal system = monoclinic
- symmetry = C2/m (12)
- E above lowest polymorph (meV/atom) = 0
- uncorrected formation energy (eV/atom) = -0.354

Geometry as POSCAR:
```
K3Sb4Au4
1.0
13.584 -2.372 0.000
13.584 2.372 0.000
-0.789 0.000 5.108
K Sb Au
3 4 4
Cartesian
0.000 0.000 0.000
8.902 0.000 4.472
17.477 0.000 0.635
4.992 0.000 3.240
11.786 0.000 2.273
14.592 0.000 2.835
21.387 0.000 1.867
2.281 0.000 2.905
6.640 0.000 0.908
19.739 0.000 4.200
24.097 0.000 2.203
```


# 2
A relaxed structure of KSbAu3. Source: Alexandria, functional PBE-GGA.

Output
- density (Mg/m³) = 8.0
- crystal system = cubic
- symmetry = Pm-3m (221)
- E above lowest polymorph (meV/atom) = 1375
- uncorrected formation energy (eV/atom) = 1.166

Geometry as POSCAR:
```
KSbAu3
1.0
5.389 0.000 0.000
0.000 5.389 0.000
0.000 0.000 5.389
K Sb Au
1 1 3
Cartesian
0.000 0.000 0.000
2.694 2.694 2.694
0.000 0.000 2.694
0.000 2.694 0.000
2.694 0.000 0.000
```


# 3
A relaxed structure of K2ScSb4Au3. Source: Alexandria, functional PBE-GGA.

Output
- density (Mg/m³) = 7.3
- crystal system = tetragonal
- symmetry = P-4m2 (115)
- uncorrected formation energy (eV/atom) = -0.458

Geometry as POSCAR:
```
K2ScSb4Au3
1.0
4.755 0.000 0.000
0.000 4.755 0.000
0.000 0.000 12.077
K Sc Sb Au
2 1 4 3
Cartesian
0.000 2.378 2.985
2.378 0.000 9.092
0.000 0.000 6.039
0.000 0.000 0.000
0.000 2.378 7.672
2.378 0.000 4.405
2.378 2.378 0.000
0.000 2.378 10.447
2.378 0.000 1.631
2.378 2.378 6.039
```


# 4
A relaxed structure of KScSbAu2. Source: Alexandria, functional PBE-GGA.

Output
- density (Mg/m³) = 6.7
- crystal system = tetragonal
- symmetry = P4/mmm (123)
- uncorrected formation energy (eV/atom) = 1.087

Geometry as POSCAR:
```
KScSbAu2
1.0
5.234 0.000 0.000
0.000 5.234 0.000
0.000 0.000 5.400
K Sc Sb Au
1 1 1 2
Cartesian
0.000 0.000 0.000
0.000 0.000 2.700
2.617 2.617 2.700
0.000 2.617 0.000
2.617 0.000 0.000
```


# 5
A relaxed structure of K2SbAuSe4. Source: Alexandria, functional PBE-GGA.

Output
- density (Mg/m³) = 4.4
- crystal system = orthorhombic
- symmetry = Fddd (70)
- uncorrected formation energy (eV/atom) = -0.472

Geometry as POSCAR:
```
K2SbAuSe4
1.0
0.000 7.056 12.605
3.056 0.000 12.605
3.056 7.056 0.000
K Sb Au Se
4 2 2 8
Cartesian
2.292 5.292 1.609
3.820 8.820 7.912
2.292 5.292 17.298
3.820 8.820 23.600
2.292 5.292 9.454
3.820 8.820 15.756
0.764 1.764 3.151
5.347 12.348 22.059
2.467 3.312 4.649
3.644 6.839 10.951
2.117 7.272 4.649
2.117 3.312 14.259
3.995 10.800 10.951
3.995 6.839 20.561
2.467 7.272 14.259
3.644 10.800 20.561
```


# 6
A relaxed structure of K2SiSbAu6. Source: Alexandria, functional PBE-GGA.

Output
- density (Mg/m³) = 9.1
- crystal system = triclinic
- symmetry = P1 (1)
- uncorrected formation energy (eV/atom) = -0.276

Geometry as POSCAR:
```
K2SiSbAu6
1.0
6.919 0.000 0.000
3.435 6.036 0.000
3.368 1.926 6.142
K Si Sb Au
2 1 1 6
Cartesian
0.000 0.000 0.000
6.859 3.956 3.665
3.436 1.982 0.968
10.318 5.969 4.140
3.395 3.612 2.943
1.983 1.106 2.902
4.851 1.118 2.933
5.471 3.188 0.474
6.893 5.650 0.478
8.331 3.197 0.456
```


# 7
A relaxed structure of K2SnSb3Au4. Source: Alexandria, functional PBE-GGA.

Output
- density (Mg/m³) = 8.3
- crystal system = tetragonal
- symmetry = P-4m2 (115)
- uncorrected formation energy (eV/atom) = -0.304

Geometry as POSCAR:
```
K2SnSb3Au4
1.0
4.857 0.000 0.000
0.000 4.857 0.000
0.000 0.000 11.394
K Sn Sb Au
2 1 3 4
Cartesian
0.000 2.428 2.737
2.428 0.000 8.657
0.000 0.000 5.697
0.000 2.428 9.945
2.428 0.000 1.449
2.428 2.428 5.697
0.000 0.000 0.000
0.000 2.428 7.209
2.428 0.000 4.185
2.428 2.428 0.000
```


# 8
A relaxed structure of K2Sn2Sb2Au. Source: Alexandria, functional PBE-GGA.

Output
- density (Mg/m³) = 5.2
- crystal system = triclinic
- symmetry = P-1 (2)
- uncorrected formation energy (eV/atom) = -0.269

Geometry as POSCAR:
```
K2Sn2Sb2Au
1.0
4.410 0.000 0.000
0.015 7.143 0.000
2.191 3.021 7.628
K Sn Sb Au
2 2 2 1
Cartesian
1.098 2.583 1.627
5.518 7.581 6.001
3.295 4.004 4.861
3.321 6.160 2.767
1.116 6.087 0.879
5.500 4.078 6.749
3.300 1.511 3.814
```